The following is a PBE-GGA calculation of a relaxed structure of TlP2IrS7, from OQMD.

The crystal system is monoclinic. As for the theoretical density: 4.29 g/cm3. The raw total energy is -4.922 eV/atom. The value obtained for the total magnetization is 0.000 μB per formula unit.

```
data_TlP2IrS7
_chemical_formula_sum 'Tl1 P2 Ir1 S7'
_space_group_name_H-M_alt 'P 1'
_space_group_IT_number 1
_cell_length_a 6.506
_cell_length_b 6.506
_cell_length_c 6.329
_cell_angle_alpha 95.27
_cell_angle_beta 95.27
_cell_angle_gamma 95.19
loop_
_space_group_symop_operation_xyz
'x,y,z'
loop_
_atom_site_label
_atom_site_type_symbol
_atom_site_fract_x
_atom_site_fract_y
_atom_site_fract_z
Ir1 Ir 0.519 0.481 0.000
Tl1 Tl 0.108 0.892 0.500
S1 S 0.516 0.824 0.174
S2 S 0.522 0.166 0.774
S3 S 0.176 0.484 0.826
S4 S 0.329 0.347 0.275
S5 S 0.653 0.671 0.725
S6 S 0.981 0.019 0.000
S7 S 0.834 0.478 0.226
P1 P 0.651 0.938 0.922
P2 P 0.062 0.349 0.078
```